A plane-wave DFT calculation with GGA-PBE was carried out for a relaxed structure of CuMo5.

Unit cell a=7.3106 b=7.3106 c=7.3106 alpha=90.00 beta=90.00 gamma=90.00
With the nearest neighbours (Å) after each atom.
Space group F-43m (No. 216)
Asymmetric unit:
Cu 0.0000 0.0000 0.0000  16 Mo 3.03-3.17
Mo 0.1257 0.1257 0.3743  6 Mo 2.57-2.60
Mo 0.2500 0.2500 0.7500  12 Mo 3.03, 4 Cu 3.17

Summary:
polymorph energy (0 for the lowest one): 1.57 eV/f.u.
volume: 16.28 Å³ per atom
total magnetization: 0.00 μB/f.u.

---

A plane-wave DFT calculation with GGA-PBE was carried out for a relaxed structure of ErLuTh2.

Unit cell a=7.9283 b=7.9283 c=7.9283 alpha=90.00 beta=90.00 gamma=90.00
With the nearest neighbours (Å) after each atom.
Space group Fm-3m (No. 225)
Asymmetric unit:
Er 0.0000 0.0000 0.0000  8 Th 3.43
Lu 0.0000 0.0000 0.5000  8 Th 3.43
Th 0.2500 0.2500 0.2500  4 Er 3.43, 4 Lu 3.43

Summary:
polymorph energy (0 for the lowest one): 0.33 eV/f.u.
volume: 31.15 Å³ per atom
total magnetization: 0.00 μB/f.u.

---

A plane-wave DFT calculation with GGA-PBE was carried out for a relaxed structure of DyInB2Rh5.

Unit cell a=4.1822 b=4.1822 c=7.7862 alpha=90.00 beta=90.00 gamma=90.00
With the nearest neighbours (Å) after each atom.
Space group P4/mmm (No. 123)
Asymmetric unit:
Dy 0.0000 0.0000 0.0000  12 Rh 2.96
In 0.0000 0.0000 0.5000  8 Rh 2.76
B 0.5000 0.5000 0.2783  5 Rh 2.09-2.17
Rh 0.0000 0.5000 0.2689  2 B 2.09
Rh 0.5000 0.5000 0.0000  2 B 2.17

Summary:
volume: 15.13 Å³ per atom
total magnetization: 0.00 μB/f.u.

---

A plane-wave DFT calculation with GGA-PBE was carried out for a relaxed structure of Dy3US6Cl2.

Unit cell a=13.6378 b=7.8247 c=6.0354 alpha=90.00 beta=92.00 gamma=90.00
With the nearest neighbours (Å) after each atom.
Space group C2/m (No. 12)
Asymmetric unit:
Dy 0.0000 0.0000 0.0000  4 S 2.74, 2 Cl 2.79
Dy 0.2500 0.2500 0.5000  4 S 2.68-2.70, 2 Cl 2.76
U 0.0000 0.5000 0.5000  6 S 2.62-2.65
S 0.0786 0.2554 0.2610  1 U 2.65, 2 Dy 2.70-2.74
S 0.1664 0.5000 0.7299  1 U 2.62, 2 Dy 2.68
Cl 0.1728 0.0000 0.7658  3 Dy 2.76-2.79

Summary:
ΔE_f (raw): -1.7936 eV per atom
volume: 26.82 Å³ per atom
total magnetization: 1.00 μB/f.u.

---

These records have total DFT energy (no corrections) values of -9.289, -5.867, -6.894, -6.256 eV per atom, in the order they appear.